one) PBE Ag2Ge2H, optimized geometry; V = 18.53 A^3/atom
1.0
3.587 0.000 0.000
0.000 3.587 0.000
1.793 1.793 7.201
Ge H Ag
2 1 2
Cartesian
1.793 3.587 3.600
3.587 1.793 3.600
0.000 0.000 0.000
1.793 1.793 1.334
3.587 3.587 5.867

---

two) PBE Ag2Ge2H, optimized geometry; V = 16.19 A^3/atom
1.0
-2.457 2.027 4.522
-4.818 -2.161 -1.649
1.111 -4.467 2.606
Ge H Ag
4 2 4
Cartesian
-5.048 -2.597 3.071
-2.948 -1.262 4.463
-1.115 -2.004 2.409
-3.215 -3.339 1.017
0.000 0.000 0.000
-3.637 -0.067 1.437
-1.977 -0.315 0.303
-5.297 0.182 2.570
-2.558 0.989 2.786
-4.717 -1.123 0.087

---

Which structure is the most stable? The one labeled two).

---

one) PBE HfAgGe2, optimized geometry; V = 18.70 A^3/atom
1.0
0.000 3.344 3.344
3.344 0.000 3.344
3.344 3.344 0.000
Hf Ge Ag
1 2 1
Cartesian
3.344 3.344 3.344
5.016 5.016 5.016
1.672 1.672 1.672
0.000 0.000 0.000

---

two) PBE HfAgGe2, optimized geometry; V = 18.02 A^3/atom
1.0
-0.073 -0.697 3.718
1.640 -3.982 -0.714
4.045 1.598 0.379
Hf Ge Ag
1 2 1
Cartesian
-0.037 -0.348 1.859
0.820 -1.991 -0.357
2.022 0.799 0.190
2.806 -1.540 1.691

---

Which structure is the most stable? The one labeled two).

---

one) PBE HfAg2Ge2, optimized geometry; V = 18.79 A^3/atom
1.0
-1.378 -2.290 -2.786
-1.063 -2.592 2.657
-6.849 0.361 0.417
Ag Ge Hf
2 2 1
Cartesian
-4.566 -2.336 1.505
-4.724 -2.185 -1.217
-2.317 -1.895 0.029
-6.973 -2.626 0.259
0.000 0.000 0.000

---

two) PBE HfAg2Ge2, optimized geometry; V = 18.66 A^3/atom
1.0
-1.018 -0.277 -7.608
-2.418 -7.267 0.588
-2.973 1.019 0.361
Ge Ag Hf
4 4 2
Cartesian
-2.368 -6.177 -2.074
-2.455 -5.047 -5.981
-1.068 -1.366 -4.947
-0.981 -2.496 -1.040
-3.167 -4.159 -0.489
-2.188 -0.588 -2.499
-4.221 -5.937 -4.161
-3.242 -2.366 -6.171
-1.718 -3.772 -3.510
0.000 0.000 0.000

---

Which structure is the most stable? The one labeled one).

---

one) PBE HfAgGe3, optimized geometry; V = 23.49 A^3/atom
1.0
-4.509 -0.608 1.812
0.456 -4.851 -0.493
1.856 -0.286 4.523
Ge Ag Hf
3 1 1
Cartesian
0.928 -0.143 2.261
0.228 -2.425 -0.247
-2.254 -0.304 0.906
0.000 0.000 0.000
-1.098 -2.872 2.920

---

two) PBE HfAgGe3, optimized geometry; V = 27.51 A^3/atom
1.0
5.162 0.000 0.000
0.000 5.162 0.000
0.000 0.000 5.162
Hf Ag Ge
1 1 3
Cartesian
0.000 0.000 0.000
2.581 2.581 2.581
0.000 0.000 2.581
0.000 2.581 0.000
2.581 0.000 0.000

---

Which structure is the most stable? The one labeled two).

---

one) PBE Hf3AgGe, optimized geometry; V = 24.16 A^3/atom
1.0
-3.125 -2.273 -3.083
3.254 0.522 -3.684
2.020 -4.358 1.166
Hf Ag Ge
3 1 1
Cartesian
1.627 0.261 -1.842
1.010 -2.179 0.583
-1.563 -1.136 -1.541
1.074 -3.054 -2.800
0.000 0.000 0.000

---

two) PBE Hf3AgGe, optimized geometry; V = 25.74 A^3/atom
1.0
-3.886 2.699 1.763
0.405 -2.331 4.460
3.198 3.574 1.577
Ge Ag Hf
1 1 3
Cartesian
-0.141 1.971 3.901
0.000 0.000 0.000
1.599 1.787 0.789
0.203 -1.166 2.230
-1.943 1.349 0.882

---

Which structure is the most stable? The one labeled one).

---

one) PBE Hf2AgGe2, optimized geometry; V = 19.85 A^3/atom
1.0
8.073 0.000 0.000
0.000 8.073 0.000
0.000 0.000 3.045
Ag Hf Ge
2 4 4
Cartesian
4.037 4.037 0.000
0.000 0.000 0.000
5.140 1.104 0.000
6.970 5.140 0.000
2.933 6.970 0.000
1.104 2.933 0.000
5.338 6.772 1.523
2.735 1.301 1.523
1.301 5.338 1.523
6.772 2.735 1.523

---

two) PBE Hf2AgGe2, optimized geometry; V = 18.35 A^3/atom
1.0
-5.424 3.385 2.593
-2.904 -6.005 1.763
1.745 0.165 3.434
Hf Ge Ag
4 4 2
Cartesian
-5.188 -2.572 4.924
-2.050 -3.383 3.368
-4.533 0.927 4.423
-1.395 0.117 2.867
-3.774 1.358 1.852
-1.773 -1.805 0.988
-4.554 -3.978 2.505
-6.555 -0.815 3.369
0.000 0.000 0.000
-4.164 -1.310 2.178

---

Which structure is the most stable? The one labeled two).

---

one) PBE Hf2Ag2Ge, optimized geometry; V = 21.05 A^3/atom
1.0
7.144 0.000 0.000
0.000 7.144 0.000
0.000 0.000 4.125
Ag Ge Hf
4 2 4
Cartesian
0.995 4.567 2.063
2.577 0.995 2.063
4.567 6.149 2.063
6.149 2.577 2.063
0.000 0.000 0.000
3.572 3.572 0.000
2.435 6.007 0.000
4.709 1.137 0.000
6.007 4.709 0.000
1.137 2.435 0.000

---

two) PBE Hf2Ag2Ge, optimized geometry; V = 19.97 A^3/atom
1.0
7.850 0.000 0.000
0.000 7.850 0.000
0.000 0.000 3.241
Ge Ag Hf
2 4 4
Cartesian
3.925 3.925 0.000
0.000 0.000 0.000
0.974 2.951 0.000
4.899 0.974 0.000
6.876 4.899 0.000
2.951 6.876 0.000
5.291 6.484 1.621
1.366 5.291 1.621
6.484 2.559 1.621
2.559 1.366 1.621

---

Which structure is the most stable? The one labeled one).

---

one) PBE AgHgGe, optimized geometry; V = 20.83 A^3/atom
1.0
3.018 0.000 0.000
-1.509 2.614 0.000
0.000 0.000 7.923
Hg Ge Ag
1 1 1
Cartesian
0.000 0.000 7.806
1.509 0.871 2.856
0.000 1.742 5.185

---

two) PBE AgHgGe, optimized geometry; V = 22.54 A^3/atom
1.0
-4.375 -0.298 -1.297
-2.875 -2.743 2.264
-3.289 1.797 2.620
Hg Ag Ge
1 1 1
Cartesian
0.000 0.000 0.000
-5.270 -0.622 1.794
-2.635 -0.311 0.897

---

Which structure is the most stable? The one labeled two).

---

one) PBE Ag2Hg2Ge, optimized geometry; V = 21.48 A^3/atom
1.0
-7.112 3.056 3.057
-4.311 -5.450 -4.580
0.119 -2.048 2.325
Ag Hg Ge
4 4 2
Cartesian
-7.795 -0.397 2.118
-3.150 -0.548 1.747
-8.153 -3.894 -0.945
-3.508 -4.045 -1.316
-5.546 1.111 1.263
-2.644 -1.243 -0.959
-5.876 -3.504 -2.786
-8.779 -1.151 -0.564
-5.711 -1.197 -0.762
0.000 0.000 0.000

---

two) PBE Ag2Hg2Ge, optimized geometry; V = 21.28 A^3/atom
1.0
7.878 0.000 0.000
0.000 7.878 0.000
0.000 0.000 3.429
Ag Ge Hg
4 2 4
Cartesian
4.960 1.021 0.000
6.857 4.960 0.000
2.918 6.857 0.000
1.021 2.918 0.000
3.939 3.939 0.000
0.000 0.000 0.000
1.340 5.280 1.714
2.599 1.340 1.714
5.280 6.538 1.714
6.538 2.599 1.714

---

three) PBE Ag2Hg2Ge, optimized geometry; V = 22.32 A^3/atom
1.0
-1.920 2.691 2.050
-1.988 -2.805 1.820
3.236 -0.341 7.167
Ag Hg Ge
2 2 1
Cartesian
-0.353 -1.601 5.461
-0.319 1.147 5.576
0.245 -0.341 8.057
-0.917 -0.114 2.980
0.000 0.000 0.000

---

Which structure is the most stable? The one labeled one).

---

one) PBE AgHg2Ge2, optimized geometry; V = 22.67 A^3/atom
1.0
7.842 0.000 0.000
0.000 7.842 0.000
0.000 0.000 3.686
Ge Hg Ag
4 4 2
Cartesian
4.894 6.869 1.843
6.869 2.948 1.843
2.948 0.973 1.843
0.973 4.894 1.843
6.471 5.292 0.000
1.371 2.550 0.000
2.550 6.471 0.000
5.292 1.371 0.000
3.921 3.921 0.000
0.000 0.000 0.000

---

two) PBE AgHg2Ge2, optimized geometry; V = 23.50 A^3/atom
1.0
4.283 0.000 0.000
0.000 4.283 0.000
2.142 2.142 6.406
Ge Hg Ag
2 2 1
Cartesian
4.283 4.283 5.166
2.142 2.142 1.240
4.283 2.142 3.203
2.142 4.283 3.203
0.000 0.000 0.000

---

Which structure is the most stable? The one labeled one).

---

one) PBE AgHg2Ge2, optimized geometry; V = 22.15 A^3/atom
1.0
6.930 0.000 0.000
0.000 6.930 0.000
0.000 0.000 4.612
Hg Ge Ag
4 4 2
Cartesian
4.732 5.662 2.306
5.662 2.197 2.306
2.197 1.268 2.306
1.268 4.732 2.306
5.990 4.404 0.000
4.404 0.939 0.000
2.526 5.990 0.000
0.939 2.526 0.000
0.000 0.000 0.000
3.465 3.465 0.000

---

two) PBE AgHg2Ge2, optimized geometry; V = 22.53 A^3/atom
1.0
3.680 0.000 0.000
0.000 3.680 0.000
1.840 1.840 8.320
Hg Ag Ge
2 1 2
Cartesian
3.680 3.680 6.748
1.840 1.840 1.573
0.000 0.000 0.000
3.680 1.840 4.160
1.840 3.680 4.160

---

Which structure is the most stable? The one labeled one).

---

one) PBE KAgHg2Ge, optimized geometry; V = 31.61 A^3/atom
1.0
5.619 0.000 0.000
0.000 5.619 0.000
0.000 0.000 5.006
Ag Hg K Ge
1 2 1 1
Cartesian
0.000 0.000 2.503
2.810 0.000 0.000
0.000 2.810 0.000
2.810 2.810 2.503
0.000 0.000 0.000

---

two) PBE KAgHg2Ge, optimized geometry; V = 49.86 A^3/atom
1.0
-5.752 1.228 2.113
0.106 -5.388 3.421
2.441 3.118 4.835
Ag Hg Ge K
1 2 1 1
Cartesian
-1.602 -0.521 5.184
1.221 1.559 2.418
-2.876 0.614 1.056
0.053 -2.694 1.710
0.000 0.000 0.000

---

Which structure is the most stable? The one labeled one).